LiIn2As2 | GGA-PBEsol | optimized geometry

Values from the calculation:
energy relative to the elements = -10 kJ/mol of formula units
space-group type = I4/mmm (139)
total moment = 0.00 μB per cell

Unit cell a=5.044 b=5.044 c=9.873 alpha=90.00 beta=90.00 gamma=90.00
Positions (direct):
1 Li 0.000 0.000 0.000
2 Li 0.500 0.500 0.500
3 In 0.000 0.000 0.361
4 In 0.000 0.000 0.639
5 In 0.500 0.500 0.139
6 In 0.500 0.500 0.861
7 As 0.000 0.500 0.250
8 As 0.000 0.500 0.750
9 As 0.500 0.000 0.250
10 As 0.500 0.000 0.750